Record 1
DFT (GGA-PBEsol) results for crystalline RbBe2SiNi at its relaxed geometry.

a = 4.310 Å, b = 4.422 Å, c = 4.422 Å
α = 90.00°, β = 90.00°, γ = 90.00°
Fractional coordinates of all 5 atoms:
1 Ni 0.000 0.000 0.000
2 Si 0.500 0.000 0.000
3 Rb 0.500 0.500 0.500
4 Be 0.000 0.000 0.500
5 Be 0.000 0.500 0.000

Output
Raw formation energy (kJ per mole of atoms): 41.86
Volume (A^3/atom): 16.86
E_tot (eV/atom): -3.7521
Space-group type: P4/mmm (123)

Record 2
DFT (GGA-PBEsol) results for crystalline RbBe2TlNi at its relaxed geometry.

a = 4.636 Å, b = 4.636 Å, c = 5.073 Å
α = 90.00°, β = 90.00°, γ = 90.00°
Fractional coordinates of all 5 atoms:
1 Ni 0.000 0.000 0.500
2 Tl 0.000 0.000 0.000
3 Rb 0.500 0.500 0.500
4 Be 0.000 0.500 0.000
5 Be 0.500 0.000 0.000

Output
Formation enthalpy at 0 K (eV/atom): 0.972
Volume (A^3/atom): 21.80
E_tot (eV/atom): -2.5906
Space-group type: P4/mmm (123)

Record 3
DFT (GGA-PBEsol) results for crystalline BeReNi2 at its relaxed geometry.

a = 3.371 Å, b = 3.371 Å, c = 3.823 Å
α = 90.00°, β = 90.00°, γ = 90.00°
Fractional coordinates of all 4 atoms:
1 Be 0.000 0.000 0.500
2 Ni 0.000 0.500 0.000
3 Ni 0.500 0.000 0.000
4 Re 0.500 0.500 0.500

Output
Formation enthalpy at 0 K (eV/atom): 0.083
Volume (A^3/atom): 10.86
E_tot (eV/atom): -7.3288
Space-group type: P4/mmm (123)

Record 4
DFT (GGA-PBEsol) results for crystalline Be2ReNi at its relaxed geometry.

a = 3.285 Å, b = 3.285 Å, c = 4.478 Å
α = 111.52°, β = 111.52°, γ = 90.00°
Fractional coordinates of all 4 atoms:
1 Re 0.250 0.750 0.500
2 Be 0.000 0.000 0.000
3 Be 0.750 0.250 0.500
4 Ni 0.500 0.500 0.000

Output
ΔE to the lowest computed polymorph (meV per atom): 212
Formation enthalpy at 0 K (eV/atom): 0.029
Volume (A^3/atom): 10.33
E_tot (eV/atom): -6.8429
Space-group type: I-4m2 (119)

Record 5
DFT (GGA-PBEsol) results for crystalline BeReNi at its relaxed geometry.

a = 3.855 Å, b = 3.855 Å, c = 3.855 Å
α = 60.00°, β = 60.00°, γ = 60.00°
Fractional coordinates of all 3 atoms:
1 Re 0.250 0.250 0.250
2 Be 0.000 0.000 0.000
3 Ni 0.500 0.500 0.500

Output
Formation enthalpy at 0 K (eV/atom): 0.921
Volume (A^3/atom): 13.51
E_tot (eV/atom): -6.9087
Space-group type: F-43m (216)

Record 6
DFT (GGA-PBEsol) results for crystalline BeReNi2 at its relaxed geometry.

a = 2.577 Å, b = 2.577 Å, c = 6.378 Å
α = 90.00°, β = 90.00°, γ = 90.00°
Fractional coordinates of all 4 atoms:
1 Re 0.500 0.500 0.000
2 Ni 0.000 0.000 0.707
3 Ni 0.000 0.000 0.293
4 Be 0.500 0.500 0.500

Output
Formation enthalpy at 0 K (eV/atom): -0.220
Volume (A^3/atom): 10.59
E_tot (eV/atom): -7.6316
Space-group type: P4/mmm (123)

Please write out number 2 again, unchanged.
DFT (GGA-PBEsol) results for crystalline RbBe2TlNi at its relaxed geometry.

a = 4.636 Å, b = 4.636 Å, c = 5.073 Å
α = 90.00°, β = 90.00°, γ = 90.00°
Fractional coordinates of all 5 atoms:
1 Ni 0.000 0.000 0.500
2 Tl 0.000 0.000 0.000
3 Rb 0.500 0.500 0.500
4 Be 0.000 0.500 0.000
5 Be 0.500 0.000 0.000

Output
Formation enthalpy at 0 K (eV/atom): 0.972
Volume (A^3/atom): 21.80
E_tot (eV/atom): -2.5906
Space-group type: P4/mmm (123)

Repeat the fourth record exactly.
DFT (GGA-PBEsol) results for crystalline Be2ReNi at its relaxed geometry.

a = 3.285 Å, b = 3.285 Å, c = 4.478 Å
α = 111.52°, β = 111.52°, γ = 90.00°
Fractional coordinates of all 4 atoms:
1 Re 0.250 0.750 0.500
2 Be 0.000 0.000 0.000
3 Be 0.750 0.250 0.500
4 Ni 0.500 0.500 0.000

Output
ΔE to the lowest computed polymorph (meV per atom): 212
Formation enthalpy at 0 K (eV/atom): 0.029
Volume (A^3/atom): 10.33
E_tot (eV/atom): -6.8429
Space-group type: I-4m2 (119)